Record 1
LiLa2Cd3 PBE relaxed; ΔH_f (0 K) = -0.296 eV per atom; symmetry = Pmm2 (25); polymorph energy (0 for the lowest one) = 6 meV/atom
1.0
3.4766 0.0000 0.0000
0.0000 5.1481 0.0000
0.0000 0.0000 8.9115
Li La Cd
1 2 3
Direct
0.0000 0.0000 0.0000
0.5000 0.0000 0.6648
0.5000 0.5000 0.1724
0.0000 0.0000 0.3264
0.0000 0.5000 0.5046
0.0000 0.5000 0.8435



Record 2
Ba8Mg2In PBE relaxed; ΔH_f (0 K) = -0.024 eV per atom; symmetry = Immm (71); polymorph energy (0 for the lowest one) = 51 meV/atom
1.0
-3.0606 5.1247 8.6211
3.0606 -5.1247 8.6211
3.0606 5.1247 -8.6211
Ba Mg In
8 2 1
Direct
0.1219 0.3445 0.7775
0.1333 0.1333 0.0000
0.3215 0.0000 0.3215
0.4330 0.6555 0.7775
0.5670 0.3445 0.2225
0.6785 0.0000 0.6785
0.8667 0.8667 0.0000
0.8781 0.6555 0.2225
0.3074 0.8074 0.5000
0.6926 0.1926 0.5000
0.0000 0.5000 0.5000



Record 3
TaTlTe2O8 PBE relaxed; uncorrected formation energy = -1.2704 eV/atom; symmetry = P-3m1 (164)
1.0
6.1076 0.0000 0.0000
-3.0538 5.2894 0.0000
0.0000 0.0000 7.7722
Ta Tl Te O
1 1 2 8
Direct
0.0000 0.0000 0.0000
0.0000 0.0000 0.5000
0.3333 0.6667 0.7947
0.6667 0.3333 0.2053
0.1491 0.2983 0.8436
0.1491 0.8509 0.8436
0.2983 0.1491 0.1564
0.3333 0.6667 0.5618
0.6667 0.3333 0.4382
0.7017 0.8509 0.8436
0.8509 0.1491 0.1564
0.8509 0.7017 0.1564



Record 4
LaTl2P PBE relaxed; ΔH_f (0 K) = -0.360 eV per atom; symmetry = Imm2 (44); polymorph energy (0 for the lowest one) = 172 meV/atom
1.0
-2.1477 2.5657 4.9208
2.1477 -2.5657 4.9208
2.1477 2.5657 -4.9208
La Tl P
1 2 1
Direct
0.0000 0.0000 0.0000
0.4250 0.4250 0.0000
0.7190 0.2190 0.5000
0.2183 0.7183 0.5000



Record 5
Pm2NdCuSe5 PBE relaxed; uncorrected formation energy = -1.5623 eV/atom; symmetry = Cmc2_1 (36)
1.0
2.0415 -9.0552 0.0000
2.0415 9.0552 0.0000
0.0000 0.0000 12.1227
Pm Nd Cu Se
4 2 2 10
Direct
0.1058 0.8942 0.5000
0.1175 0.8825 0.1259
0.8825 0.1175 0.6259
0.8942 0.1058 0.0000
0.1939 0.8061 0.8263
0.8061 0.1939 0.3263
0.4368 0.5632 0.2702
0.5632 0.4368 0.7702
0.0409 0.9591 0.8778
0.2907 0.7093 0.5000
0.3201 0.6799 0.1554
0.3595 0.6405 0.8173
0.4988 0.5012 0.5952
0.5012 0.4988 0.0952
0.6405 0.3595 0.3173
0.6799 0.3201 0.6554
0.7093 0.2907 0.0000
0.9591 0.0409 0.3778



Record 6
CuIr2Br PBE relaxed; uncorrected formation energy = 0.7211 eV/atom; symmetry = P2/m (10); polymorph energy (0 for the lowest one) = 271 meV/atom
1.0
2.8711 0.0000 0.0000
0.0000 4.4498 0.0000
-1.2825 0.0000 5.0581
Cu Ir Br
1 2 1
Direct
0.0000 0.0000 0.0000
0.3564 0.5000 0.2214
0.6436 0.5000 0.7786
0.5000 0.0000 0.5000



Record 7
ThSc4Cd5 PBE relaxed; ΔH_f (0 K) = -0.252 eV per atom; symmetry = P4/mmm (123)
1.0
3.5065 0.0000 0.0000
0.0000 3.5065 0.0000
0.0000 0.0000 18.9156
Th Sc Cd
1 4 5
Direct
0.0000 0.0000 0.0000
0.0000 0.0000 0.2159
0.0000 0.0000 0.4051
0.0000 0.0000 0.5949
0.0000 0.0000 0.7841
0.5000 0.5000 0.1223
0.5000 0.5000 0.3101
0.5000 0.5000 0.5000
0.5000 0.5000 0.6899
0.5000 0.5000 0.8777



Record 8
BaMnW PBE relaxed; ΔH_f (0 K) = 2.562 eV per atom; symmetry = F-43m (216); polymorph energy (0 for the lowest one) = 1718 meV/atom
1.0
0.0000 3.5858 3.5858
3.5858 0.0000 3.5858
3.5858 3.5858 0.0000
Ba Mn W
1 1 1
Direct
0.0000 0.0000 0.0000
0.2500 0.2500 0.2500
0.7500 0.7500 0.7500



no.,volume (Å³/cell)
1,159
2,541
3,251
4,108
5,448
6,65
7,233
8,92